Y8Er6Zr | PBE | optimized geometry

Cell and atoms, written as extended XYZ:
```
15
Lattice="9.765 0.000 0.000 -4.882 8.456 0.000 0.000 0.000 5.750" Properties=species:S:1:pos:R:3 pbc="T T T"
Y -0.823 2.278 1.530
Y -2.498 8.030 1.530
Y 1.562 1.852 4.221
Y 0.000 5.638 1.516
Y 4.882 2.819 4.234
Y 3.321 6.605 1.530
Y 7.380 0.427 4.221
Y 5.705 6.178 4.221
Er -1.401 4.003 4.342
Er -0.715 7.668 4.342
Er 2.767 3.215 1.408
Er 2.116 5.242 4.342
Er 5.597 0.789 1.408
Er 6.283 4.453 1.408
Zr 0.000 0.000 0.000
```

Summary:
energy of formation from the pure elements	0.158	eV/atom